w) Compound: SiIOF2
Source: Alexandria
Functional: PBE
Structure: optimized geometry

Properties
* calculated volume: 19.5 Å³/atom
* space group: P4/mmm (123)

Cell lengths 4.9366, 4.9366, 3.9979 Å; angles 90.00, 90.00, 90.00 degrees
Atoms (fractional coordinates):
Si1 0.0000 0.0000 0.0000
I1 0.5000 0.5000 0.5000
O1 0.5000 0.5000 0.0000
F1 0.0000 0.5000 0.5000
F2 0.5000 0.0000 0.5000


x) Compound: SiIOF2
Source: Alexandria
Functional: PBE
Structure: optimized geometry

Properties
* calculated volume: 14.2 Å³/atom
* space group: P4/mmm (123)

Cell lengths 4.6527, 4.6527, 3.2902 Å; angles 90.00, 90.00, 90.00 degrees
Atoms (fractional coordinates):
Si1 0.0000 0.0000 0.0000
I1 0.5000 0.5000 0.5000
O1 0.0000 0.0000 0.5000
F1 0.0000 0.5000 0.0000
F2 0.5000 0.0000 0.0000


How far above the most stable structure does each one sit? In meV/atom: w) 1082; x) 0.


w) Compound: SnIOF2
Source: Alexandria
Functional: PBE
Structure: optimized geometry

Properties
* calculated volume: 16.8 Å³/atom
* space group: P4/mmm (123)

Cell lengths 4.5019, 4.5019, 4.1343 Å; angles 90.00, 90.00, 90.00 degrees
Atoms (fractional coordinates):
Sn1 0.0000 0.0000 0.0000
I1 0.5000 0.5000 0.5000
O1 0.0000 0.0000 0.5000
F1 0.0000 0.5000 0.0000
F2 0.5000 0.0000 0.0000


x) Compound: SnIOF2
Source: Alexandria
Functional: PBE
Structure: optimized geometry

Properties
* calculated volume: 20.8 Å³/atom
* space group: P4/mmm (123)

Cell lengths 5.0966, 5.0966, 4.0103 Å; angles 90.00, 90.00, 90.00 degrees
Atoms (fractional coordinates):
Sn1 0.0000 0.0000 0.0000
I1 0.5000 0.5000 0.5000
O1 0.5000 0.5000 0.0000
F1 0.0000 0.5000 0.5000
F2 0.5000 0.0000 0.5000


How far above the most stable structure does each one sit? In meV/atom: w) 0; x) 614.